The following is a PBE calculation of a relaxed ZrGaTcPt crystal, from Alexandria.

Results
V in Å³/cell: 66
DOS(E_F) in states/eV/f.u.: 0.32
Total magnetization in μB/f.u.: 0.0
Theoretical density in g/cm3: 11.5
Energy of formation in eV per atom: -0.577

Unit cell a=4.529 b=4.529 c=4.529 alpha=60.00 beta=60.00 gamma=60.00
Fractional positions:
Tc (0.250, 0.250, 0.250)
Ga (0.500, 0.500, 0.500)
Pt (0.750, 0.750, 0.750)
Zr (0.000, 0.000, 0.000)



The following is a PBE calculation of a relaxed Ga2TePt crystal, from Alexandria.

Results
V in Å³/cell: 219
DOS(E_F) in states/eV/f.u.: 2.19
Energy relative to the elements, uncorrected in meV/atom: -207
Total magnetization in μB/f.u.: 0.0
Theoretical density in g/cm3: 7.0

Unit cell a=6.109 b=6.109 c=7.283 alpha=65.20 beta=65.20 gamma=90.00
Fractional positions:
Ga (0.875, 0.925, 0.750)
Ga (0.375, 0.325, 0.750)
Ga (0.075, 0.625, 0.250)
Ga (0.675, 0.125, 0.250)
Te (0.250, 0.750, 0.500)
Te (0.500, 0.500, 0.000)
Pt (0.750, 0.250, 0.500)
Pt (0.000, 0.000, 0.000)



The following is a PBE calculation of a relaxed Ga2TePt2 crystal, from Alexandria.

Results
V in Å³/cell: 178
DOS(E_F) in states/eV/f.u.: 2.00
Energy relative to the elements, uncorrected in meV/atom: -354
Total magnetization in μB/f.u.: 0.0
Theoretical density in g/cm3: 12.3

Unit cell a=7.706 b=7.706 c=2.998 alpha=90.00 beta=90.00 gamma=90.00
Fractional positions:
Ga (0.356, 0.144, 0.500)
Ga (0.644, 0.856, 0.500)
Ga (0.856, 0.356, 0.500)
Ga (0.144, 0.644, 0.500)
Te (0.500, 0.500, 0.000)
Te (0.000, 0.000, 0.000)
Pt (0.149, 0.351, 0.000)
Pt (0.851, 0.649, 0.000)
Pt (0.649, 0.149, 0.000)
Pt (0.351, 0.851, 0.000)



Among the records above, which one has the highest theoretical density?
Ga2TePt2